DFT (GGA-PBE) results for a geometry-optimized Ba3Cd2Hg structure.

a = 4.250 Å, b = 4.250 Å, c = 12.686 Å
α = 90.00°, β = 90.00°, γ = 90.00°
Element x y z (fractional)
Ba1 0.000 0.000 0.000
Ba2 0.000 0.000 0.337
Ba3 0.000 0.000 0.663
Cd1 0.500 0.500 0.167
Cd2 0.500 0.500 0.833
Hg1 0.500 0.500 0.500

**Magnetic moment**: 0.0 μB/cell
**Theoretical density**: 6.07 g/cm3
**Calculated total energy**: -1.706 eV per atom
**SG**: P4/mmm, No. 123
**Volume**: 38.2 Å³/atom
**Crystal system**: tetragonal

---

DFT (GGA-PBE) results for a geometry-optimized Ba2Cd3Hg6 structure.

a = 8.776 Å, b = 8.776 Å, c = 4.616 Å
α = 90.00°, β = 90.00°, γ = 106.61°
Element x y z (fractional)
Ba1 0.209 0.209 0.000
Ba2 0.791 0.791 0.000
Cd1 0.258 0.742 0.000
Cd2 0.500 0.500 0.500
Cd3 0.742 0.258 0.000
Hg1 0.120 0.880 0.500
Hg2 0.164 0.495 0.500
Hg3 0.495 0.164 0.500
Hg4 0.505 0.836 0.500
Hg5 0.836 0.505 0.500
Hg6 0.880 0.120 0.500

**Magnetic moment**: 0.0 μB/cell
**Theoretical density**: 8.85 g/cm3
**Calculated total energy**: -1.010 eV per atom
**SG**: Cmmm, No. 65
**Volume**: 31.0 Å³/atom
**Crystal system**: orthorhombic

---

DFT (GGA-PBE) results for a geometry-optimized Ba2Cd10Hg structure.

a = 9.976 Å, b = 12.350 Å, c = 6.474 Å
α = 90.00°, β = 90.00°, γ = 90.00°
Element x y z (fractional)
Ba1 0.233 0.064 0.000
Ba2 0.267 0.564 0.000
Ba3 0.733 0.436 0.000
Ba4 0.767 0.936 0.000
Cd1 0.049 0.617 0.500
Cd2 0.080 0.808 0.221
Cd3 0.080 0.808 0.779
Cd4 0.173 0.204 0.500
Cd5 0.227 0.433 0.500
Cd6 0.273 0.933 0.500
Cd7 0.327 0.704 0.500
Cd8 0.420 0.308 0.221
Cd9 0.420 0.308 0.779
Cd10 0.451 0.117 0.500
Cd11 0.549 0.883 0.500
Cd12 0.580 0.692 0.221
Cd13 0.580 0.692 0.779
Cd14 0.673 0.296 0.500
Cd15 0.727 0.067 0.500
Cd16 0.773 0.567 0.500
Cd17 0.827 0.796 0.500
Cd18 0.920 0.192 0.221
Cd19 0.920 0.192 0.779
Cd20 0.951 0.383 0.500
Hg1 0.000 0.000 0.500
Hg2 0.500 0.500 0.500

**Magnetic moment**: 0.0 μB/cell
**Theoretical density**: 6.66 g/cm3
**Calculated total energy**: -1.151 eV per atom
**SG**: Pbam, No. 55
**Volume**: 30.7 Å³/atom
**Crystal system**: orthorhombic

---

DFT (GGA-PBE) results for a geometry-optimized Ba2CdHg structure.

a = 5.733 Å, b = 5.733 Å, c = 5.733 Å
α = 60.00°, β = 60.00°, γ = 60.00°
Element x y z (fractional)
Ba1 0.000 0.000 0.000
Ba2 0.250 0.250 0.250
Cd1 0.500 0.500 0.500
Hg1 0.750 0.750 0.750

**Magnetic moment**: 0.0 μB/cell
**Theoretical density**: 7.32 g/cm3
**Calculated total energy**: -1.501 eV per atom
**SG**: F-43m, No. 216
**Volume**: 33.3 Å³/atom
**Crystal system**: cubic

---

DFT (GGA-PBE) results for a geometry-optimized Ba2CdHg structure.

a = 7.763 Å, b = 7.763 Å, c = 7.763 Å
α = 106.62°, β = 106.62°, γ = 115.34°
Element x y z (fractional)
Ba1 0.115 0.125 0.490
Ba2 0.375 0.885 0.010
Ba3 0.635 0.625 0.510
Ba4 0.875 0.365 0.990
Cd1 0.250 0.750 0.500
Cd2 0.500 0.500 0.000
Hg1 0.000 0.000 0.000
Hg2 0.750 0.250 0.500

**Magnetic moment**: 0.0 μB/cell
**Theoretical density**: 5.46 g/cm3
**Calculated total energy**: -1.417 eV per atom
**SG**: I-42d, No. 122
**Volume**: 44.7 Å³/atom
**Crystal system**: tetragonal

---

DFT (GGA-PBE) results for a geometry-optimized BaCd2Hg2 structure.

a = 5.226 Å, b = 6.560 Å, c = 9.367 Å
α = 80.77°, β = 74.81°, γ = 68.21°
Element x y z (fractional)
Ba1 0.183 0.359 0.284
Ba2 0.817 0.641 0.716
Cd1 0.131 0.060 0.687
Cd2 0.445 0.205 0.884
Cd3 0.555 0.795 0.116
Cd4 0.869 0.940 0.313
Hg1 0.154 0.741 0.962
Hg2 0.400 0.744 0.445
Hg3 0.600 0.256 0.555
Hg4 0.846 0.259 0.038

**Magnetic moment**: 0.0 μB/cell
**Theoretical density**: 8.83 g/cm3
**Calculated total energy**: -1.193 eV per atom
**SG**: P-1, No. 2
**Volume**: 28.7 Å³/atom
**Crystal system**: triclinic

---

DFT (GGA-PBE) results for a geometry-optimized Ba2CdHg structure.

a = 9.610 Å, b = 9.610 Å, c = 9.610 Å
α = 28.39°, β = 28.39°, γ = 28.39°
Element x y z (fractional)
Ba1 0.000 0.000 0.000
Ba2 0.171 0.171 0.171
Cd1 0.420 0.420 0.420
Hg1 0.585 0.585 0.585

**Magnetic moment**: 0.0 μB/cell
**Theoretical density**: 5.50 g/cm3
**Calculated total energy**: -1.534 eV per atom
**SG**: R3m, No. 160
**Volume**: 44.3 Å³/atom
**Crystal system**: trigonal

---

DFT (GGA-PBE) results for a geometry-optimized BaCd4Hg structure.

a = 6.207 Å, b = 6.207 Å, c = 6.207 Å
α = 60.00°, β = 60.00°, γ = 60.00°
Element x y z (fractional)
Ba1 0.000 0.000 0.000
Cd1 0.128 0.624 0.624
Cd2 0.624 0.128 0.624
Cd3 0.624 0.624 0.128
Cd4 0.624 0.624 0.624
Hg1 0.250 0.250 0.250

**Magnetic moment**: 0.0 μB/cell
**Theoretical density**: 7.73 g/cm3
**Calculated total energy**: -1.172 eV per atom
**SG**: F-43m, No. 216
**Volume**: 28.2 Å³/atom
**Crystal system**: cubic

---

DFT (GGA-PBE) results for a geometry-optimized Ba2CdHg structure.

a = 6.497 Å, b = 6.497 Å, c = 6.497 Å
α = 132.95°, β = 132.95°, γ = 68.74°
Element x y z (fractional)
Ba1 0.000 0.000 0.000
Ba2 0.750 0.250 0.500
Cd1 0.250 0.750 0.500
Hg1 0.500 0.500 0.000

**Magnetic moment**: 0.0 μB/cell
**Theoretical density**: 6.76 g/cm3
**Calculated total energy**: -1.518 eV per atom
**SG**: I-4m2, No. 119
**Volume**: 36.1 Å³/atom
**Crystal system**: tetragonal

---

DFT (GGA-PBE) results for a geometry-optimized Ba3Cd8Hg structure.

a = 11.053 Å, b = 11.053 Å, c = 11.053 Å
α = 33.14°, β = 33.14°, γ = 33.14°
Element x y z (fractional)
Ba1 0.000 0.000 0.000
Ba2 0.130 0.130 0.130
Ba3 0.517 0.517 0.517
Cd1 0.069 0.568 0.568
Cd2 0.070 0.070 0.567
Cd3 0.070 0.567 0.070
Cd4 0.317 0.317 0.317
Cd5 0.567 0.070 0.070
Cd6 0.568 0.069 0.568
Cd7 0.568 0.568 0.069
Cd8 0.820 0.820 0.820
Hg1 0.636 0.636 0.636

**Magnetic moment**: 0.0 μB/cell
**Theoretical density**: 6.99 g/cm3
**Calculated total energy**: -1.364 eV per atom
**SG**: R3m, No. 160
**Volume**: 29.9 Å³/atom
**Crystal system**: trigonal

---

DFT (GGA-PBE) results for a geometry-optimized Ba6CdHg2 structure.

a = 10.266 Å, b = 10.266 Å, c = 10.266 Å
α = 111.89°, β = 109.60°, γ = 106.96°
Element x y z (fractional)
Ba1 0.064 0.250 0.814
Ba2 0.173 0.268 0.441
Ba3 0.173 0.732 0.904
Ba4 0.336 0.033 0.697
Ba5 0.336 0.638 0.303
Ba6 0.435 0.250 0.186
Ba7 0.565 0.750 0.814
Ba8 0.664 0.362 0.697
Ba9 0.664 0.967 0.303
Ba10 0.827 0.268 0.096
Ba11 0.827 0.732 0.559
Ba12 0.936 0.750 0.186
Cd1 0.000 0.000 0.000
Cd2 0.500 0.500 0.000
Hg1 0.125 0.625 0.500
Hg2 0.336 0.000 0.336
Hg3 0.664 0.000 0.664
Hg4 0.875 0.375 0.500

**Magnetic moment**: 0.0 μB/cell
**Theoretical density**: 5.34 g/cm3
**Calculated total energy**: -1.727 eV per atom
**SG**: Immm, No. 71
**Volume**: 46.2 Å³/atom
**Crystal system**: orthorhombic

---

DFT (GGA-PBE) results for a geometry-optimized Ba2Cd3Hg9 structure.

a = 9.039 Å, b = 9.039 Å, c = 12.262 Å
α = 111.92°, β = 111.92°, γ = 58.93°
Element x y z (fractional)
Ba1 0.081 0.249 0.246
Ba2 0.249 0.081 0.746
Ba3 0.751 0.919 0.254
Ba4 0.919 0.751 0.754
Cd1 0.000 0.500 0.000
Cd2 0.134 0.689 0.506
Cd3 0.311 0.866 0.994
Cd4 0.500 0.000 0.500
Cd5 0.689 0.134 0.006
Cd6 0.866 0.311 0.494
Hg1 0.048 0.842 0.088
Hg2 0.158 0.952 0.412
Hg3 0.201 0.572 0.260
Hg4 0.206 0.362 0.580
Hg5 0.318 0.480 0.939
Hg6 0.362 0.206 0.080
Hg7 0.367 0.633 0.750
Hg8 0.428 0.799 0.240
Hg9 0.480 0.318 0.439
Hg10 0.520 0.682 0.561
Hg11 0.572 0.201 0.760
Hg12 0.633 0.367 0.250
Hg13 0.638 0.794 0.920
Hg14 0.682 0.520 0.061
Hg15 0.794 0.638 0.420
Hg16 0.799 0.428 0.740
Hg17 0.842 0.048 0.588
Hg18 0.952 0.158 0.912

**Magnetic moment**: 0.0 μB/cell
**Theoretical density**: 10.35 g/cm3
**Calculated total energy**: -0.933 eV per atom
**SG**: C2/c, No. 15
**Volume**: 27.7 Å³/atom
**Crystal system**: monoclinic

---

DFT (GGA-PBE) results for a geometry-optimized Ba2CdHg structure.

a = 4.424 Å, b = 4.424 Å, c = 8.477 Å
α = 90.00°, β = 90.00°, γ = 90.00°
Element x y z (fractional)
Ba1 0.000 0.000 0.000
Ba2 0.500 0.500 0.403
Cd1 0.000 0.000 0.597
Hg1 0.500 0.500 0.810

**Magnetic moment**: 0.0 μB/cell
**Theoretical density**: 5.88 g/cm3
**Calculated total energy**: -1.556 eV per atom
**SG**: P4mm, No. 99
**Volume**: 41.5 Å³/atom
**Crystal system**: tetragonal

---

DFT (GGA-PBE) results for a geometry-optimized Ba7Cd2Hg2 structure.

a = 7.937 Å, b = 7.937 Å, c = 8.785 Å
α = 90.00°, β = 90.00°, γ = 110.40°
Element x y z (fractional)
Ba1 0.000 0.000 0.000
Ba2 0.000 0.500 0.281
Ba3 0.000 0.500 0.719
Ba4 0.500 0.000 0.281
Ba5 0.500 0.000 0.719
Ba6 0.500 0.500 0.258
Ba7 0.500 0.500 0.742
Cd1 0.162 0.162 0.500
Cd2 0.838 0.838 0.500
Hg1 0.290 0.710 0.000
Hg2 0.710 0.290 0.000

**Magnetic moment**: 0.0 μB/cell
**Theoretical density**: 5.08 g/cm3
**Calculated total energy**: -1.628 eV per atom
**SG**: Cmmm, No. 65
**Volume**: 47.2 Å³/atom
**Crystal system**: orthorhombic

---

DFT (GGA-PBE) results for a geometry-optimized BaCdHg4 structure.

a = 6.285 Å, b = 6.285 Å, c = 6.285 Å
α = 60.00°, β = 60.00°, γ = 60.00°
Element x y z (fractional)
Ba1 0.000 0.000 0.000
Cd1 0.750 0.750 0.750
Hg1 0.376 0.376 0.376
Hg2 0.376 0.376 0.873
Hg3 0.376 0.873 0.376
Hg4 0.873 0.376 0.376

**Magnetic moment**: 0.0 μB/cell
**Theoretical density**: 9.95 g/cm3
**Calculated total energy**: -0.907 eV per atom
**SG**: F-43m, No. 216
**Volume**: 29.3 Å³/atom
**Crystal system**: cubic

---

DFT (GGA-PBE) results for a geometry-optimized Ba3Cd2Hg2 structure.

a = 13.242 Å, b = 13.242 Å, c = 4.310 Å
α = 90.00°, β = 90.00°, γ = 159.95°
Element x y z (fractional)
Ba1 0.000 0.000 0.000
Ba2 0.158 0.842 0.000
Ba3 0.842 0.158 0.000
Cd1 0.420 0.580 0.500
Cd2 0.580 0.420 0.500
Hg1 0.286 0.714 0.500
Hg2 0.714 0.286 0.500

**Magnetic moment**: 0.0 μB/cell
**Theoretical density**: 6.65 g/cm3
**Calculated total energy**: -1.549 eV per atom
**SG**: Cmmm, No. 65
**Volume**: 37.0 Å³/atom
**Crystal system**: orthorhombic

---

DFT (GGA-PBE) results for a geometry-optimized BaCdHg3 structure.

a = 8.229 Å, b = 8.229 Å, c = 8.229 Å
α = 132.19°, β = 69.78°, γ = 132.38°
Element x y z (fractional)
Ba1 0.000 0.000 0.000
Ba2 0.500 0.000 0.500
Cd1 0.500 0.000 0.000
Cd2 0.500 0.500 0.500
Hg1 0.000 0.000 0.500
Hg2 0.000 0.500 0.000
Hg3 0.121 0.512 0.609
Hg4 0.403 0.512 0.891
Hg5 0.597 0.488 0.109
Hg6 0.879 0.488 0.391

**Magnetic moment**: 0.0 μB/cell
**Theoretical density**: 9.46 g/cm3
**Calculated total energy**: -1.065 eV per atom
**SG**: Imma, No. 74
**Volume**: 29.9 Å³/atom
**Crystal system**: orthorhombic

---

DFT (GGA-PBE) results for a geometry-optimized Ba3Cd3Hg8 structure.

a = 9.589 Å, b = 9.589 Å, c = 9.589 Å
α = 148.64°, β = 115.09°, γ = 73.86°
Element x y z (fractional)
Ba1 0.000 0.000 0.000
Ba2 0.290 0.290 0.000
Ba3 0.710 0.710 0.000
Cd1 0.329 0.500 0.829
Cd2 0.500 0.000 0.500
Cd3 0.671 0.500 0.171
Hg1 0.010 0.655 0.355
Hg2 0.156 0.863 0.293
Hg3 0.300 0.655 0.645
Hg4 0.430 0.137 0.293
Hg5 0.570 0.863 0.707
Hg6 0.700 0.345 0.355
Hg7 0.844 0.137 0.707
Hg8 0.990 0.345 0.645

**Magnetic moment**: 0.0 μB/cell
**Theoretical density**: 9.56 g/cm3
**Calculated total energy**: -1.151 eV per atom
**SG**: Immm, No. 71
**Volume**: 29.2 Å³/atom
**Crystal system**: orthorhombic

---

DFT (GGA-PBE) results for a geometry-optimized BaCd5Hg6 structure.

a = 9.055 Å, b = 9.055 Å, c = 5.371 Å
α = 106.91°, β = 106.91°, γ = 117.85°
Element x y z (fractional)
Ba1 0.000 0.000 0.000
Cd1 0.157 0.843 0.500
Cd2 0.321 0.679 0.000
Cd3 0.500 0.500 0.500
Cd4 0.679 0.321 0.000
Cd5 0.843 0.157 0.500
Hg1 0.101 0.453 0.278
Hg2 0.287 0.287 0.785
Hg3 0.453 0.101 0.278
Hg4 0.547 0.899 0.722
Hg5 0.713 0.713 0.215
Hg6 0.899 0.547 0.722

**Magnetic moment**: 0.0 μB/cell
**Theoretical density**: 9.82 g/cm3
**Calculated total energy**: -0.805 eV per atom
**SG**: C2/m, No. 12
**Volume**: 26.8 Å³/atom
**Crystal system**: monoclinic

---

DFT (GGA-PBE) results for a geometry-optimized Ba2CdHg2 structure.

a = 8.880 Å, b = 8.880 Å, c = 4.614 Å
α = 90.00°, β = 90.00°, γ = 90.00°
Element x y z (fractional)
Ba1 0.174 0.326 0.000
Ba2 0.326 0.826 0.000
Ba3 0.674 0.174 0.000
Ba4 0.826 0.674 0.000
Cd1 0.000 0.000 0.500
Cd2 0.500 0.500 0.500
Hg1 0.127 0.627 0.500
Hg2 0.373 0.127 0.500
Hg3 0.627 0.873 0.500
Hg4 0.873 0.373 0.500

**Magnetic moment**: 0.0 μB/cell
**Theoretical density**: 7.19 g/cm3
**Calculated total energy**: -1.472 eV per atom
**SG**: P4/mbm, No. 127
**Volume**: 36.4 Å³/atom
**Crystal system**: tetragonal

---

DFT (GGA-PBE) results for a geometry-optimized BaCd12Hg4 structure.

a = 8.665 Å, b = 8.665 Å, c = 8.665 Å
α = 109.47°, β = 109.47°, γ = 109.47°
Element x y z (fractional)
Ba1 0.000 0.000 0.000
Cd1 0.148 0.355 0.502
Cd2 0.148 0.645 0.793
Cd3 0.207 0.852 0.355
Cd4 0.355 0.207 0.852
Cd5 0.355 0.502 0.148
Cd6 0.498 0.852 0.645
Cd7 0.502 0.148 0.355
Cd8 0.645 0.498 0.852
Cd9 0.645 0.793 0.148
Cd10 0.793 0.148 0.645
Cd11 0.852 0.355 0.207
Cd12 0.852 0.645 0.498
Hg1 0.000 0.000 0.500
Hg2 0.000 0.500 0.000
Hg3 0.500 0.000 0.000
Hg4 0.500 0.500 0.500

**Magnetic moment**: 0.0 μB/cell
**Theoretical density**: 7.59 g/cm3
**Calculated total energy**: -0.802 eV per atom
**SG**: Im-3, No. 204
**Volume**: 29.5 Å³/atom
**Crystal system**: cubic